Record 1
Compound: LiMg5
Source: the Alexandria database
Functional: PBEsol
Structure: relaxed

The structure in POSCAR format:
```
LiMg5
1.0
3.139 0.000 0.000
0.000 5.068 0.000
-1.589 0.000 8.147
Li Mg
1 5
Direct
0.000 0.000 0.000
0.222 0.500 0.445
0.335 0.000 0.670
0.555 0.500 0.109
0.664 0.000 0.330
0.891 0.500 0.781
```

For the energy above the most stable polymorph in this dataset, the calculation gives 3.4 meV per atom. Its space group is Pm. As for the total energy: -1.78 eV per atom. The formation energy from the elements is -0.02 eV per atom.



Record 2
Compound: LiMg2
Source: the Alexandria database
Functional: PBEsol
Structure: relaxed

The structure in POSCAR format:
```
LiMg2
1.0
3.081 0.000 0.000
-1.471 5.732 0.000
-0.024 -1.751 7.173
Li Mg
2 4
Direct
0.000 0.000 0.000
0.332 0.662 0.662
0.279 0.552 0.041
0.609 0.210 0.716
0.663 0.328 0.328
0.944 0.877 0.382
```

Its space group is P1. As for the total energy: -1.83 eV per atom. The formation energy from the elements is -0.03 eV per atom.



Record 3
Compound: LiMg2
Source: the Alexandria database
Functional: PBEsol
Structure: relaxed

The structure in POSCAR format:
```
LiMg2
1.0
-1.695 1.695 5.285
1.695 -1.695 5.285
1.695 1.695 -5.285
Li Mg
1 2
Direct
0.000 0.000 0.000
0.342 0.342 0.000
0.658 0.658 0.000
```

Its space group is I4/mmm. As for the total energy: -1.86 eV per atom. The formation energy from the elements is -0.06 eV per atom.



Record 4
Compound: Li3Mg5
Source: the Alexandria database
Functional: PBEsol
Structure: relaxed

The structure in POSCAR format:
```
Li3Mg5
1.0
8.210 0.000 0.000
-4.105 7.110 0.000
0.000 0.000 5.619
Li Mg
6 10
Direct
0.000 0.402 0.250
0.000 0.598 0.750
0.402 0.000 0.250
0.402 0.402 0.750
0.598 0.000 0.750
0.598 0.598 0.250
0.000 0.236 0.750
0.000 0.764 0.250
0.236 0.000 0.750
0.236 0.236 0.250
0.333 0.667 0.000
0.333 0.667 0.500
0.667 0.333 0.000
0.667 0.333 0.500
0.764 0.000 0.250
0.764 0.764 0.750
```

For the energy above the most stable polymorph in this dataset, the calculation gives 51.8 meV per atom. Its space group is P6_3/mcm. As for the total energy: -1.81 eV per atom. The formation energy from the elements is 0.00 eV per atom.



Record 5
Compound: LiMg2
Source: the Alexandria database
Functional: PBEsol
Structure: relaxed

The structure in POSCAR format:
```
LiMg2
1.0
3.146 0.000 0.000
-1.573 2.725 0.000
0.000 0.000 14.976
Li Mg
2 4
Direct
0.333 0.667 0.081
0.667 0.333 0.919
0.333 0.667 0.415
0.333 0.667 0.757
0.667 0.333 0.243
0.667 0.333 0.585
```

Its space group is P-3m1. As for the total energy: -1.82 eV per atom. The formation energy from the elements is -0.02 eV per atom.



Record 6
Compound: LiMg2
Source: the Alexandria database
Functional: PBEsol
Structure: relaxed

The structure in POSCAR format:
```
LiMg2
1.0
2.696 1.557 5.014
-2.696 1.557 5.014
0.000 -3.113 5.014
Li Mg
2 4
Direct
0.167 0.167 0.167
0.833 0.833 0.833
0.000 0.670 0.330
0.330 0.000 0.670
0.500 0.500 0.500
0.670 0.330 0.000
```

Its space group is R32. As for the total energy: -1.83 eV per atom. The formation energy from the elements is -0.03 eV per atom.



Record 7
Compound: LiMg2
Source: the Alexandria database
Functional: PBEsol
Structure: relaxed

The structure in POSCAR format:
```
LiMg2
1.0
5.921 0.000 0.000
0.000 4.787 0.000
0.000 0.000 8.636
Li Mg
4 8
Direct
0.197 0.250 0.092
0.303 0.750 0.592
0.697 0.250 0.408
0.803 0.750 0.908
0.026 0.250 0.764
0.191 0.250 0.425
0.309 0.750 0.925
0.474 0.750 0.264
0.526 0.250 0.736
0.691 0.250 0.075
0.809 0.750 0.575
0.974 0.750 0.236
```

Its space group is Pnma. As for the total energy: -1.84 eV per atom. The formation energy from the elements is -0.04 eV per atom.



Record 8
Compound: LiMg2
Source: the Alexandria database
Functional: PBEsol
Structure: relaxed

The structure in POSCAR format:
```
LiMg2
1.0
4.892 0.000 0.000
-2.446 4.236 0.000
0.000 0.000 5.929
Li Mg
2 4
Direct
0.333 0.667 0.250
0.667 0.333 0.750
0.000 0.000 0.000
0.000 0.000 0.500
0.333 0.667 0.750
0.667 0.333 0.250
```

Its space group is P6_3/mmc. As for the total energy: -1.84 eV per atom. The formation energy from the elements is -0.04 eV per atom.



Record 9
Compound: LiMg2Mn
Source: the Alexandria database
Functional: PBEsol
Structure: relaxed

The structure in POSCAR format:
```
LiMg2Mn
1.0
3.019 0.000 0.000
0.000 3.843 0.000
0.000 0.000 6.236
Li Mg Mn
1 2 1
Direct
0.000 0.000 0.000
0.000 0.000 0.547
0.500 0.500 0.252
0.500 0.500 0.776
```

Its space group is Pmm2. As for the total energy: -3.49 eV per atom. The formation energy from the elements is 0.30 eV per atom.



Record 10
Compound: LiMg2Mn
Source: the Alexandria database
Functional: PBEsol
Structure: relaxed

The structure in POSCAR format:
```
LiMg2Mn
1.0
1.484 0.857 9.585
-1.484 0.857 9.585
0.000 -1.714 9.585
Li Mg Mn
1 2 1
Direct
0.000 0.000 0.000
0.246 0.246 0.246
0.754 0.754 0.754
0.500 0.500 0.500
```

Its space group is R-3m. As for the total energy: -3.53 eV per atom. The formation energy from the elements is 0.26 eV per atom.



Record 11
Compound: Li2MgMn
Source: the Alexandria database
Functional: PBEsol
Structure: relaxed

The structure in POSCAR format:
```
Li2MgMn
1.0
1.432 0.827 9.649
-1.432 0.827 9.649
0.000 -1.653 9.649
Li Mg Mn
2 1 1
Direct
0.244 0.244 0.244
0.756 0.756 0.756
0.000 0.000 0.000
0.500 0.500 0.500
```

Its space group is R-3m. As for the total energy: -3.53 eV per atom. The formation energy from the elements is 0.32 eV per atom.



Record 12
Compound: Li2MgMn
Source: the Alexandria database
Functional: PBEsol
Structure: relaxed

The structure in POSCAR format:
```
Li2MgMn
1.0
1.528 -2.352 0.000
1.528 2.352 0.000
0.000 0.000 9.643
Li Mg Mn
2 1 1
Direct
0.000 0.000 0.234
0.000 0.000 0.766
0.500 0.500 0.500
0.500 0.500 0.000
```

Its space group is Cmmm. As for the total energy: -3.52 eV per atom. The formation energy from the elements is 0.33 eV per atom.



Record 13
Compound: LiMg2Mn
Source: the Alexandria database
Functional: PBEsol
Structure: relaxed

The structure in POSCAR format:
```
LiMg2Mn
1.0
0.000 3.303 3.303
3.303 0.000 3.303
3.303 3.303 0.000
Li Mg Mn
1 2 1
Direct
0.000 0.000 0.000
0.250 0.250 0.250
0.500 0.500 0.500
0.750 0.750 0.750
```

Its space group is F-43m. As for the total energy: -3.50 eV per atom. The formation energy from the elements is 0.29 eV per atom.



Record 14
Compound: Li3MgMn
Source: the Alexandria database
Functional: PBEsol
Structure: relaxed

The structure in POSCAR format:
```
Li3MgMn
1.0
4.859 0.000 0.000
0.000 4.859 0.000
0.000 0.000 4.859
Li Mg Mn
3 1 1
Direct
0.000 0.000 0.500
0.000 0.500 0.000
0.500 0.000 0.000
0.000 0.000 0.000
0.500 0.500 0.500
```

Its space group is Pm-3m. As for the total energy: -2.60 eV per atom. The formation energy from the elements is 0.87 eV per atom.



Record 15
Compound: Li2MgMn
Source: the Alexandria database
Functional: PBEsol
Structure: relaxed

The structure in POSCAR format:
```
Li2MgMn
1.0
-1.516 2.379 4.806
1.516 -2.379 4.806
1.516 2.379 -4.806
Li Mg Mn
2 1 1
Direct
0.244 0.244 0.000
0.756 0.756 0.000
0.500 0.000 0.500
0.000 0.500 0.500
```

Its space group is Immm. As for the total energy: -3.54 eV per atom. The formation energy from the elements is 0.31 eV per atom.



Record 16
Compound: LiMg30MnO32
Source: the Alexandria database
Functional: PBEsol
Structure: relaxed

The structure in POSCAR format:
```
LiMg30MnO32
1.0
8.396 0.000 0.000
0.000 8.396 0.000
0.000 0.000 8.462
Li Mg Mn O
1 30 1 32
Direct
0.000 0.000 0.000
0.000 0.000 0.500
0.000 0.247 0.247
0.000 0.247 0.753
0.000 0.500 0.000
0.000 0.500 0.500
0.000 0.753 0.247
0.000 0.753 0.753
0.245 0.245 0.000
0.245 0.755 0.000
0.247 0.000 0.247
0.247 0.000 0.753
0.249 0.249 0.500
0.249 0.751 0.500
0.250 0.500 0.253
0.250 0.500 0.747
0.500 0.000 0.000
0.500 0.000 0.500
0.500 0.250 0.253
0.500 0.250 0.747
0.500 0.500 0.500
0.500 0.750 0.253
0.500 0.750 0.747
0.750 0.500 0.253
0.750 0.500 0.747
0.751 0.249 0.500
0.751 0.751 0.500
0.753 0.000 0.247
0.753 0.000 0.753
0.755 0.245 0.000
0.755 0.755 0.000
0.500 0.500 0.000
0.000 0.000 0.255
0.000 0.000 0.745
0.000 0.251 0.500
0.000 0.259 0.000
0.000 0.500 0.248
0.000 0.500 0.752
0.000 0.741 0.000
0.000 0.749 0.500
0.249 0.500 0.500
0.251 0.000 0.500
0.251 0.251 0.249
0.251 0.251 0.751
0.251 0.749 0.249
0.251 0.749 0.751
0.259 0.000 0.000
0.265 0.500 0.000
0.500 0.000 0.248
0.500 0.000 0.752
0.500 0.249 0.500
0.500 0.265 0.000
0.500 0.500 0.257
0.500 0.500 0.743
0.500 0.735 0.000
0.500 0.751 0.500
0.735 0.500 0.000
0.741 0.000 0.000
0.749 0.000 0.500
0.749 0.251 0.249
0.749 0.251 0.751
0.749 0.749 0.249
0.749 0.749 0.751
0.751 0.500 0.500
```

Its space group is P4/mmm. As for the total energy: -6.29 eV per atom. The energy relative to the elements, uncorrected comes out at -2.678 eV per atom.



Record 17
Compound: Li2MgMo
Source: the Alexandria database
Functional: PBEsol
Structure: relaxed

The structure in POSCAR format:
```
Li2MgMo
1.0
0.000 3.236 3.236
3.236 0.000 3.236
3.236 3.236 0.000
Li Mg Mo
2 1 1
Direct
0.000 0.000 0.000
0.250 0.250 0.250
0.500 0.500 0.500
0.750 0.750 0.750
```

Its space group is F-43m. As for the total energy: -3.62 eV per atom. The formation energy from the elements is 0.74 eV per atom.



Record 18
Compound: LiMg2Mo
Source: the Alexandria database
Functional: PBEsol
Structure: relaxed

The structure in POSCAR format:
```
LiMg2Mo
1.0
1.754 -2.136 0.000
1.754 2.136 0.000
0.000 0.000 9.477
Li Mg Mo
1 2 1
Direct
0.000 0.000 0.000
0.500 0.500 0.263
0.500 0.500 0.737
0.000 0.000 0.500
```

For the energy above the most stable polymorph in this dataset, the calculation gives 0.0 meV per atom. Its space group is Cmmm. As for the total energy: -4.09 eV per atom. The formation energy from the elements is 0.21 eV per atom.



Record 19
Compound: LiMgMo2
Source: the Alexandria database
Functional: PBEsol
Structure: relaxed

The structure in POSCAR format:
```
LiMgMo2
1.0
3.631 0.000 0.000
0.000 3.631 0.000
0.000 0.000 4.696
Li Mg Mo
1 1 2
Direct
0.000 0.000 0.000
0.500 0.500 0.000
0.000 0.500 0.500
0.500 0.000 0.500
```

Its space group is P4/mmm. As for the total energy: -6.41 eV per atom. The formation energy from the elements is 0.39 eV per atom.



Record 20
Compound: LiMgMo4
Source: the Alexandria database
Functional: PBEsol
Structure: relaxed

The structure in POSCAR format:
```
LiMgMo4
1.0
0.000 3.698 3.698
3.698 0.000 3.698
3.698 3.698 0.000
Li Mg Mo
1 1 4
Direct
0.000 0.000 0.000
0.750 0.750 0.750
0.374 0.374 0.374
0.374 0.374 0.877
0.374 0.877 0.374
0.877 0.374 0.374
```

Its space group is F-43m. As for the total energy: -7.91 eV per atom. The formation energy from the elements is 0.55 eV per atom.



Record 21
Compound: LiMg2Mo
Source: the Alexandria database
Functional: PBEsol
Structure: relaxed

The structure in POSCAR format:
```
LiMg2Mo
1.0
-1.380 2.485 5.025
1.380 -2.485 5.025
1.380 2.485 -5.025
Li Mg Mo
1 2 1
Direct
0.000 0.000 0.000
0.243 0.743 0.500
0.506 0.506 0.000
0.755 0.255 0.500
```

For the energy above the most stable polymorph in this dataset, the calculation gives 207.6 meV per atom. Its space group is Imm2. As for the total energy: -3.88 eV per atom. The formation energy from the elements is 0.41 eV per atom.



Record 22
Compound: Li3MgMo
Source: the Alexandria database
Functional: PBEsol
Structure: relaxed

The structure in POSCAR format:
```
Li3MgMo
1.0
4.907 0.000 0.000
0.000 4.907 0.000
0.000 0.000 4.907
Li Mg Mo
3 1 1
Direct
0.000 0.000 0.500
0.000 0.500 0.000
0.500 0.000 0.000
0.500 0.500 0.500
0.000 0.000 0.000
```

Its space group is Pm-3m. As for the total energy: -2.64 eV per atom. The formation energy from the elements is 1.23 eV per atom.



Record 23
Compound: Li2MgMoPd
Source: the Alexandria database
Functional: PBEsol
Structure: relaxed

The structure in POSCAR format:
```
Li2MgMoPd
1.0
4.420 0.000 0.000
0.000 4.420 0.000
0.000 0.000 4.647
Li Mg Mo Pd
2 1 1 1
Direct
0.000 0.500 0.000
0.500 0.000 0.000
0.000 0.000 0.000
0.500 0.500 0.500
0.000 0.000 0.500
```

Its space group is P4/mmm. As for the total energy: -3.58 eV per atom. The formation energy from the elements is 1.10 eV per atom.



Record 24
Compound: Li2MgN
Source: the Alexandria database
Functional: PBEsol
Structure: relaxed

The structure in POSCAR format:
```
Li2MgN
1.0
-2.640 2.640 4.784
2.640 -2.640 4.784
2.640 2.640 -4.784
Li Mg N
4 2 2
Direct
0.000 0.000 0.000
0.000 0.000 0.500
0.000 0.500 0.000
0.500 0.000 0.500
0.375 0.625 0.750
0.625 0.375 0.250
0.125 0.875 0.250
0.875 0.125 0.750
```

Its space group is I4_1/amd. As for the total energy: -3.32 eV per atom. The energy relative to the elements, uncorrected comes out at 0.222 eV per atom.



Number 1: magnetic moment 0.0 μB per formula unit. Number 2: magnetic moment 0.0 μB per formula unit. Number 3: magnetic moment 0.0 μB per formula unit. Number 4: magnetic moment 0.0 μB per formula unit. Number 5: magnetic moment 0.0 μB per formula unit. Number 6: magnetic moment 0.0 μB per formula unit. Number 7: magnetic moment 0.0 μB per formula unit. Number 8: magnetic moment 0.0 μB per formula unit. Number 9: magnetic moment 3.7 μB per formula unit. Number 10: magnetic moment 3.5 μB per formula unit. Number 11: magnetic moment 3.6 μB per formula unit. Number 12: magnetic moment 3.7 μB per formula unit. Number 13: magnetic moment 3.8 μB per formula unit. Number 14: magnetic moment 4.3 μB per formula unit. Number 15: magnetic moment 3.7 μB per formula unit. Number 16: magnetic moment 4.0 μB per formula unit. Number 17: magnetic moment 2.3 μB per formula unit. Number 18: magnetic moment 0.0 μB per formula unit. Number 19: magnetic moment 0.0 μB per formula unit. Number 20: magnetic moment 0.0 μB per formula unit. Number 21: magnetic moment 0.0 μB per formula unit. Number 22: magnetic moment 3.8 μB per formula unit. Number 23: magnetic moment 3.8 μB per formula unit. Number 24: magnetic moment 0.0 μB per formula unit.